A PBEsol-optimized structure of CaMn2Br, computed with SCAN.

a b c (Å): 3.3448 4.4997 5.7152
angles (deg): 90.00 90.00 90.00
Element x y z (fractional)
Mn 0.0000 0.0000 0.0000
Mn 0.5000 0.5000 0.0000
Ca 0.0000 0.5000 0.5000
Br 0.5000 0.0000 0.5000

=====

A PBEsol-optimized structure of CaMnBr, computed with SCAN.

a b c (Å): 4.9471 4.9471 4.9471
angles (deg): 60.00 60.00 60.00
Element x y z (fractional)
Ca 0.5000 0.5000 0.5000
Br 0.0000 0.0000 0.0000
Mn 0.2500 0.2500 0.2500

=====

A PBEsol-optimized structure of CaMnBr2, computed with SCAN.

a b c (Å): 4.0314 4.0314 6.5956
angles (deg): 107.80 107.80 90.00
Element x y z (fractional)
Ca 0.5000 0.5000 0.0000
Mn 0.2500 0.7500 0.5000
Br 0.0000 0.0000 0.0000
Br 0.7500 0.2500 0.5000

=====

A PBEsol-optimized structure of Ca2MnRuBr, computed with SCAN.

a b c (Å): 4.5759 5.3282 5.3282
angles (deg): 90.00 90.00 90.00
Element x y z (fractional)
Ca 0.0000 0.5000 0.0000
Br 0.0000 0.0000 0.0000
Ca 0.0000 0.0000 0.5000
Ru 0.5000 0.0000 0.0000
Mn 0.5000 0.5000 0.5000

=====

A PBEsol-optimized structure of Ca2MoBr, computed with SCAN.

a b c (Å): 4.1976 4.1976 6.1576
angles (deg): 90.00 90.00 90.00
Element x y z (fractional)
Mo 0.0000 0.0000 0.4116
Ca 0.5000 0.5000 0.3267
Br 0.5000 0.5000 0.8365
Ca 0.0000 0.0000 0.9252

=====

A PBEsol-optimized structure of CaMoBr2, computed with SCAN.

a b c (Å): 3.4389 3.4389 9.7041
angles (deg): 79.79 79.79 60.00
Element x y z (fractional)
Ca 0.0000 0.0000 0.0000
Br 0.8934 0.8934 0.3198
Br 0.1066 0.1066 0.6802
Mo 0.5000 0.5000 0.5000

=====

A PBEsol-optimized structure of CaMoBr2, computed with SCAN.

a b c (Å): 3.4409 4.9357 6.8505
angles (deg): 111.12 104.55 90.00
Element x y z (fractional)
Br 0.6538 0.6538 0.3076
Ca 0.5000 0.0000 0.0000
Mo 0.0000 0.5000 0.0000
Br 0.3462 0.3462 0.6924

=====

A PBEsol-optimized structure of CaMoBr2, computed with SCAN.

a b c (Å): 3.3274 3.3274 8.4200
angles (deg): 90.00 90.00 90.00
Element x y z (fractional)
Br 0.0000 0.0000 0.9159
Br 0.5000 0.5000 0.2979
Mo 0.5000 0.5000 0.7855
Ca 0.0000 0.0000 0.5007

=====

A PBEsol-optimized structure of CaBr2N2, computed with SCAN.

a b c (Å): 3.2969 3.2969 9.2527
angles (deg): 100.26 100.26 90.00
Element x y z (fractional)
Br 0.4032 0.4032 0.8064
Ca 0.0000 0.0000 0.0000
N 0.2500 0.7500 0.5000
Br 0.5968 0.5968 0.1936
N 0.7500 0.2500 0.5000

=====

A PBEsol-optimized structure of Ca2BrN, computed with SCAN.

a b c (Å): 3.6658 3.6658 7.1497
angles (deg): 75.15 75.15 60.00
Element x y z (fractional)
Br 0.0000 0.0000 0.0000
Ca 0.2260 0.2260 0.3221
Ca 0.7740 0.7740 0.6779
N 0.5000 0.5000 0.5000

=====

A PBEsol-optimized structure of CaBrNO2, computed with SCAN.

a b c (Å): 4.4962 4.4962 4.8413
angles (deg): 90.00 90.00 90.00
Element x y z (fractional)
Ca 0.0000 0.0000 0.0000
Br 0.5000 0.5000 0.5000
O 0.0000 0.5000 0.0000
O 0.5000 0.0000 0.0000
N 0.0000 0.0000 0.5000

=====

A PBEsol-optimized structure of SrCaBrN2, computed with SCAN.

a b c (Å): 4.7658 4.7602 4.7602
angles (deg): 90.00 90.00 90.00
Element x y z (fractional)
Br 0.0000 0.0000 0.0000
Sr 0.5000 0.5000 0.5000
N 0.0000 0.5000 0.0000
Ca 0.5000 0.0000 0.0000
N 0.0000 0.0000 0.5000

=====

A PBEsol-optimized structure of NaCa3Br, computed with SCAN.

a b c (Å): 5.7584 5.7584 5.7584
angles (deg): 90.00 90.00 90.00
Element x y z (fractional)
Na 0.5000 0.5000 0.5000
Br 0.0000 0.0000 0.0000
Ca 0.0000 0.0000 0.5000
Ca 0.0000 0.5000 0.0000
Ca 0.5000 0.0000 0.0000

=====

A PBEsol-optimized structure of NaCa2Br2, computed with SCAN.

a b c (Å): 5.2577 5.2577 7.3376
angles (deg): 110.99 110.99 90.00
Element x y z (fractional)
Br 0.6508 0.6508 0.3016
Na 0.0000 0.0000 0.0000
Ca 0.7500 0.2500 0.5000
Ca 0.2500 0.7500 0.5000
Br 0.3492 0.3492 0.6984

=====

A PBEsol-optimized structure of NaCaBr3, computed with SCAN.

a b c (Å): 5.2477 5.2477 5.2477
angles (deg): 90.00 90.00 90.00
Element x y z (fractional)
Br 0.0000 0.5000 0.0000
Na 0.0000 0.0000 0.0000
Ca 0.5000 0.5000 0.5000
Br 0.0000 0.0000 0.5000
Br 0.5000 0.0000 0.0000

=====

A PBEsol-optimized structure of NaCaNb2Br, computed with SCAN.

a b c (Å): 4.8636 4.8636 5.6500
angles (deg): 90.00 90.00 90.00
Element x y z (fractional)
Na 0.5000 0.5000 0.5000
Nb 0.0000 0.5000 0.0000
Ca 0.0000 0.0000 0.0000
Br 0.0000 0.0000 0.5000
Nb 0.5000 0.0000 0.0000

=====

A PBEsol-optimized structure of NaCaSe2Br, computed with SCAN.

a b c (Å): 4.9969 4.9969 5.4200
angles (deg): 90.00 90.00 90.00
Element x y z (fractional)
Ca 0.5000 0.5000 0.5000
Se 0.5000 0.0000 0.0000
Na 0.0000 0.0000 0.0000
Br 0.0000 0.0000 0.5000
Se 0.0000 0.5000 0.0000

=====

A PBEsol-optimized structure of Na2CaZnBr, computed with SCAN.

a b c (Å): 5.6635 6.5183 6.5183
angles (deg): 90.00 90.00 90.00
Element x y z (fractional)
Br 0.5000 0.5000 0.5000
Zn 0.5000 0.0000 0.0000
Na 0.0000 0.0000 0.5000
Na 0.0000 0.5000 0.0000
Ca 0.0000 0.0000 0.0000

=====

A PBEsol-optimized structure of CaNb2Br, computed with SCAN.

a b c (Å): 4.8446 4.8446 4.8446
angles (deg): 60.00 60.00 60.00
Element x y z (fractional)
Br 0.5000 0.5000 0.5000
Nb 0.2500 0.2500 0.2500
Ca 0.0000 0.0000 0.0000
Nb 0.7500 0.7500 0.7500

=====

A PBEsol-optimized structure of CaNiBr2, computed with SCAN.

a b c (Å): 3.9094 3.8941 7.1515
angles (deg): 90.00 90.00 120.13
Element x y z (fractional)
Ca 0.5000 0.0000 0.5000
Br 0.0000 0.0000 0.7816
Ni 0.5000 0.0000 0.0000
Br 0.0000 0.0000 0.2184

=====

A PBEsol-optimized structure of CaNiBr2, computed with SCAN.

a b c (Å): 3.9372 4.3431 6.7457
angles (deg): 90.56 106.97 90.00
Element x y z (fractional)
Br 0.1471 0.2650 0.2943
Ca 0.5000 0.5000 0.0000
Ni 0.0000 0.0000 0.0000
Br 0.8529 0.7350 0.7057

=====

A PBEsol-optimized structure of CaNiBr2, computed with SCAN.

a b c (Å): 5.0294 5.1169 5.1169
angles (deg): 95.39 115.89 115.89
Element x y z (fractional)
Br 0.0000 0.0000 0.5000
Ni 0.5000 0.0000 0.0000
Ca 0.5000 0.5000 0.5000
Br 0.0000 0.5000 0.0000

=====

A PBEsol-optimized structure of CaNiSeBr2, computed with SCAN.

a b c (Å): 4.7543 4.7543 4.9817
angles (deg): 90.00 90.00 90.00
Element x y z (fractional)
Se 0.0000 0.0000 0.5000
Br 0.0000 0.5000 0.0000
Ca 0.5000 0.5000 0.5000
Ni 0.0000 0.0000 0.0000
Br 0.5000 0.0000 0.0000

=====

A PBEsol-optimized structure of Ca2ZrNiBr, computed with SCAN.

a b c (Å): 4.3661 6.0558 6.0558
angles (deg): 90.00 90.00 90.00
Element x y z (fractional)
Zr 0.0000 0.0000 0.0000
Ni 0.5000 0.0000 0.0000
Br 0.5000 0.5000 0.5000
Ca 0.0000 0.0000 0.5000
Ca 0.0000 0.5000 0.0000

=====

A PBEsol-optimized structure of CaBr2O, computed with SCAN.

a b c (Å): 3.8907 3.8907 7.2482
angles (deg): 96.10 99.91 118.78
Element x y z (fractional)
O 0.7498 0.7276 0.4774
Br 0.8755 0.2434 0.1189
Ca 0.3625 0.0280 0.3905
Br 0.8115 0.9300 0.7415

=====

A PBEsol-optimized structure of CaRuBr2O, computed with SCAN.

a b c (Å): 3.7022 5.2519 5.2519
angles (deg): 90.00 90.00 90.00
Element x y z (fractional)
Br 0.0000 0.0000 0.5000
Ru 0.0000 0.0000 0.0000
O 0.5000 0.0000 0.0000
Ca 0.5000 0.5000 0.5000
Br 0.0000 0.5000 0.0000

=====

A PBEsol-optimized structure of CaOs2Br, computed with SCAN.

a b c (Å): 3.6399 3.6399 5.9753
angles (deg): 90.00 90.00 90.00
Element x y z (fractional)
Os 0.5000 0.0000 0.0000
Ca 0.0000 0.0000 0.5000
Br 0.5000 0.5000 0.5000
Os 0.0000 0.5000 0.0000

=====

A PBEsol-optimized structure of CaOs2Br, computed with SCAN.

a b c (Å): 3.0316 3.4513 7.5984
angles (deg): 90.00 101.49 90.00
Element x y z (fractional)
Os 0.6567 0.5000 0.1887
Os 0.0854 0.0000 0.0459
Ca 0.4413 0.5000 0.7576
Br 0.8166 0.0000 0.5078

=====

A PBEsol-optimized structure of Ca4OsBr, computed with SCAN.

a b c (Å): 6.1092 6.1092 6.1092
angles (deg): 60.00 60.00 60.00
Element x y z (fractional)
Ca 0.3768 0.3768 0.8697
Br 0.0000 0.0000 0.0000
Ca 0.8697 0.3768 0.3768
Ca 0.3768 0.3768 0.3768
Ca 0.3768 0.8697 0.3768
Os 0.7500 0.7500 0.7500

=====

A PBEsol-optimized structure of CaOs2Br, computed with SCAN.

a b c (Å): 4.4981 4.4981 4.4981
angles (deg): 102.20 113.22 113.22
Element x y z (fractional)
Br 0.0000 0.5000 0.5000
Os 0.0000 0.0000 0.0000
Os 0.5000 0.2500 0.7500
Ca 0.5000 0.7500 0.2500

=====

Number 1: ρ 4.44 g/cm³, formation energy from raw total energies -0.153 eV per atom. Number 2: ρ 3.39 g/cm³, formation energy from raw total energies 0.164 eV per atom. Number 3: ρ 4.38 g/cm³, formation energy from raw total energies -0.757 eV per atom. Number 4: ρ 4.04 g/cm³, formation energy from raw total energies 0.294 eV per atom. Number 5: ρ 3.92 g/cm³, formation energy from raw total energies 0.160 eV per atom. Number 6: ρ 5.05 g/cm³, formation energy from raw total energies 0.077 eV per atom. Number 7: ρ 4.70 g/cm³, formation energy from raw total energies -0.248 eV per atom. Number 8: ρ 5.27 g/cm³, formation energy from raw total energies -0.343 eV per atom. Number 9: ρ 3.89 g/cm³, formation energy from raw total energies 0.892 eV per atom. Number 10: ρ 3.64 g/cm³, formation energy from raw total energies -1.637 eV per atom. Number 11: ρ 2.82 g/cm³, formation energy from raw total energies 0.332 eV per atom. Number 12: ρ 3.62 g/cm³, formation energy from raw total energies 1.172 eV per atom. Number 13: ρ 1.94 g/cm³, formation energy from raw total energies -0.348 eV per atom. Number 14: ρ 2.50 g/cm³, formation energy from raw total energies -0.929 eV per atom. Number 15: ρ 3.48 g/cm³, formation energy from raw total energies -1.539 eV per atom. Number 16: ρ 4.09 g/cm³, formation energy from raw total energies 1.699 eV per atom. Number 17: ρ 3.69 g/cm³, formation energy from raw total energies -0.703 eV per atom. Number 18: ρ 1.60 g/cm³, formation energy from raw total energies 0.318 eV per atom. Number 19: ρ 6.32 g/cm³, formation energy from raw total energies 1.230 eV per atom. Number 20: ρ 4.56 g/cm³, formation energy from raw total energies -0.522 eV per atom. Number 21: ρ 3.89 g/cm³, formation energy from raw total energies -1.012 eV per atom. Number 22: ρ 4.30 g/cm³, formation energy from raw total energies -0.633 eV per atom. Number 23: ρ 4.98 g/cm³, formation energy from raw total energies -0.916 eV per atom. Number 24: ρ 3.21 g/cm³, formation energy from raw total energies 0.410 eV per atom. Number 25: ρ 3.88 g/cm³, formation energy from raw total energies -1.705 eV per atom. Number 26: ρ 5.15 g/cm³, formation energy from raw total energies -0.969 eV per atom. Number 27: ρ 10.50 g/cm³, formation energy from raw total energies 0.553 eV per atom. Number 28: ρ 10.67 g/cm³, formation energy from raw total energies 0.104 eV per atom. Number 29: ρ 4.43 g/cm³, formation energy from raw total energies 0.838 eV per atom. Number 30: ρ 12.00 g/cm³, formation energy from raw total energies 1.071 eV per atom.